Compound: Zn2FeSe
Source: Alexandria
Functional: GGA-PBE
Structure: relaxed

Values from the calculation:
Raw total energy (eV/cell): -28.797
E_form (uncorrected) (eV/atom): 0.024

Cell lengths 2.7981, 4.1887, 11.4711 Å; angles 90.00, 90.00, 90.00 degrees
With the nearest neighbours (Å) after each atom.
Space group Imm2 (No. 44)
Asymmetric unit:
Zn 0.0000 0.0000 0.0000 (multiplicity 2)  2 Fe 2.53, 4 Zn 2.72-2.80
Zn 0.0000 0.5000 0.1516 (multiplicity 2)  4 Fe 2.55, 4 Zn 2.72-2.80
Fe 0.0000 0.5000 0.6839 (multiplicity 2)  2 Se 2.33, 6 Zn 2.53-2.55
Se 0.0000 0.0000 0.3468 (multiplicity 2)  2 Fe 2.33

Compound: Pu2CdC
Source: Alexandria
Functional: GGA-PBE
Structure: relaxed

Values from the calculation:
ΔE_f (meV per atom): -13
Raw total energy (eV/cell): -116.563

Cell lengths 3.3687, 3.3687, 26.3586 Å; angles 90.00, 90.00, 120.00 degrees
With the nearest neighbours (Å) after each atom.
Space group R3m (No. 160, hexagonal axes)
Asymmetric unit:
Pu 0.0000 0.0000 0.0000 (multiplicity 3)  3 C 2.43
Pu 0.0000 0.0000 0.2225 (multiplicity 3)  3 C 2.43
Cd 0.0000 0.0000 0.7772 (multiplicity 3)  6 Cd 3.37, 6 Pu 3.50-3.53
C 0.0000 0.0000 0.6111 (multiplicity 3)  6 Pu 2.43

Q: Number 2 is which compound?
A: Pu2CdC